A geometry-optimized Rb3Cd4Sn2 structure. Source: Alexandria via LeMat-Bulk, functional PBE-GGA.

Computed properties:
- raw total energy (eV per formula unit) = -15.65
- ΔE_f (meV per atom) = -120
- SG = No. 2

Lattice parameters (Å, degrees): 5.067 7.133 10.857 67.53 76.28 69.15
Atoms (fractional coordinates):
1 Cd 0.911 0.545 0.633
2 Cd 0.730 0.611 0.929
3 Cd 0.270 0.389 0.071
4 Cd 0.089 0.455 0.367
5 Rb 0.000 0.000 0.000
6 Rb 0.618 0.133 0.629
7 Rb 0.382 0.867 0.371
8 Sn 0.299 0.635 0.765
9 Sn 0.701 0.365 0.235